# 1
Density functional theory data (PBE) for crystalline LaPrNi2C2N2 at its relaxed geometry.

POSCAR file:
```
LaPrNi2C2N2
1.0
-3.244 0.242 -1.612
0.775 -2.929 -1.999
-2.961 -4.399 5.298
C La N Ni Pr
2 1 2 2 1
direct
0.000 0.000 0.347
0.500 0.500 0.654
0.000 0.000 0.823
0.000 0.000 0.163
0.500 0.500 0.838
0.500 0.000 0.499
0.000 0.500 0.499
0.500 0.500 0.178
```

Its calculated total energy is -60.06 eV/cell.



# 2
Density functional theory data (PBE) for crystalline Ba5Hf4S13 at its relaxed geometry.

POSCAR file:
```
Ba5Hf4S13
1.0
-2.042 4.547 0.392
-1.739 -0.380 -4.672
-17.346 -11.406 10.057
Ba Hf S
5 4 13
direct
0.500 0.500 0.000
0.607 0.607 0.214
0.711 0.711 0.422
0.289 0.289 0.578
0.393 0.393 0.786
0.055 0.055 0.111
0.166 0.166 0.333
0.834 0.834 0.667
0.945 0.945 0.889
0.000 0.000 0.000
0.555 0.055 0.109
0.055 0.555 0.109
0.110 0.110 0.220
0.663 0.163 0.327
0.163 0.663 0.327
0.221 0.221 0.442
0.779 0.779 0.558
0.837 0.337 0.673
0.337 0.837 0.673
0.890 0.890 0.780
0.945 0.445 0.891
0.445 0.945 0.891
```

Its calculated total energy is -143.95 eV/cell.



# 3
Density functional theory data (PBE) for crystalline NaLuFeMo at its relaxed geometry.

POSCAR file:
```
NaLuFeMo
1.0
0.000 3.240 3.240
3.240 0.000 3.240
3.240 3.240 0.000
Fe Lu Mo Na
1 1 1 1
direct
0.250 0.250 0.250
0.500 0.500 0.500
0.000 0.000 0.000
0.750 0.750 0.750
```

For the energy above the most stable polymorph in this dataset, the calculation gives 0 meV per atom.



# 4
Density functional theory data (PBE) for crystalline Mg4Bi4Pd5 at its relaxed geometry.

POSCAR file:
```
Mg4Bi4Pd5
1.0
2.320 1.339 15.027
-2.320 1.339 15.027
0.000 -2.679 15.027
Bi Mg Pd
4 4 5
direct
0.125 0.125 0.125
0.376 0.376 0.376
0.627 0.627 0.627
0.873 0.873 0.873
0.003 0.003 0.003
0.248 0.248 0.248
0.499 0.499 0.499
0.749 0.749 0.749
0.063 0.063 0.063
0.314 0.314 0.314
0.563 0.563 0.563
0.811 0.811 0.811
0.937 0.937 0.937
```

Its calculated total energy is -54.63 eV/cell.



# 5
Density functional theory data (PBE) for crystalline NdAsPb at its relaxed geometry.

POSCAR file:
```
NdAsPb
1.0
0.000 3.615 3.615
3.615 0.000 3.615
3.615 3.615 0.000
As Nd Pb
1 1 1
direct
0.250 0.250 0.250
0.000 0.000 0.000
0.750 0.750 0.750
```

Its calculated total energy is -13.69 eV/cell.



# 6
Density functional theory data (PBE) for crystalline ZrBeNiHg at its relaxed geometry.

POSCAR file:
```
ZrBeNiHg
1.0
3.805 -1.475 1.921
0.315 -0.230 4.493
0.080 -4.016 2.052
Be Hg Ni Zr
1 1 1 1
direct
0.750 0.750 0.750
0.250 0.250 0.250
0.500 0.500 0.500
0.000 0.000 0.000
```

For the energy above the most stable polymorph in this dataset, the calculation gives 191 meV per atom.